Entry 1:
Below is crystalline ScNiAg2 at its relaxed geometry, with properties calculated at the PBE level.

Density: 7980 kg/m³
Energy relative to the elements: -0.165 eV/atom

Lattice parameters (Å, degrees): 4.042 4.042 8.137 90.00 90.00 90.00
Space group I-4m2 (No. 119)
One atom of each set of equivalent atoms:
1 Sc 0.000 0.000 0.000 [2 per cell]
2 Ni 0.000 0.500 0.750 [2 per cell]
3 Ag 0.000 0.000 0.500 [2 per cell]
4 Ag 0.000 0.500 0.250 [2 per cell]

***

Entry 2:
Below is crystalline Ti2SnAs2 at its relaxed geometry, with properties calculated at the PBE level.

Density: 6505 kg/m³
Energy relative to the elements: -0.377 eV/atom
Polymorph energy (0 for the lowest one): 112.2 meV per atom

Lattice parameters (Å, degrees): 7.475 7.475 3.328 90.00 90.00 90.00
Space group P4/mbm (No. 127)
One atom of each set of equivalent atoms:
1 Ti 0.145 0.355 0.000 [4 per cell]
2 Sn 0.000 0.000 0.500 [2 per cell]
3 As 0.141 0.641 0.500 [4 per cell]

***

Entry 3:
Below is crystalline Pr2NiBr2 at its relaxed geometry, with properties calculated at the PBE level.

Uncorrected formation energy: -25.32 kcal/mol of atoms
Density: 5204 kg/m³

Lattice parameters (Å, degrees): 4.0794 4.0794 33.2308 90.00 90.00 120.00
Space group R-3m (No. 166, hexagonal axes)
One atom of each set of equivalent atoms:
1 Pr 0.0000 0.0000 0.1167 [6 per cell]
2 Ni 0.0000 0.0000 0.5000 [3 per cell]
3 Br 0.0000 0.0000 0.2766 [6 per cell]

***

no.,E_tot (eV per atom)
1,-4.6188
2,-6.1952
3,-4.8352